DFT (PBE) results for an optimized crystal structure of TbYOsO6.

Summary:
* DFT total energy: -8.144 eV/atom
* energy relative to the elements, uncorrected: -2.36 eV per atom
* D(E_F): 0.46 states/eV per atom

Geometry as CIF:
```
data_TbYOsO6
_cell_length_a 5.5114
_cell_length_b 5.5114
_cell_length_c 9.4902
_cell_angle_alpha 90.00
_cell_angle_beta 90.00
_cell_angle_gamma 120.00
_symmetry_space_group_name_H-M 'P -3 1 c'
_symmetry_Int_Tables_number 163
_symmetry_space_group_name_Hall '-P 3 2c'
loop_
_atom_site_label
_atom_site_fract_x
_atom_site_fract_y
_atom_site_fract_z
Tb1 0.3333 0.6667 0.2500
Y1 0.0000 0.0000 0.0000
Os1 0.3333 0.6667 0.7500
O1 0.0455 0.3706 0.6343
```

DFT (PBE) results for an optimized crystal structure of Tb2YOsO8.

Summary:
* DFT total energy: -8.075 eV/atom
* energy relative to the elements, uncorrected: -2.52 eV per atom
* D(E_F): 0.19 states/eV per atom

Geometry as CIF:
```
data_Tb2YOsO8
_cell_length_a 7.122
_cell_length_b 7.179
_cell_length_c 6.809
_cell_angle_alpha 90.00
_cell_angle_beta 90.00
_cell_angle_gamma 90.00
_symmetry_space_group_name_H-M 'C m m m'
_symmetry_Int_Tables_number 65
_symmetry_space_group_name_Hall '-C 2 2'
loop_
_atom_site_label
_atom_site_fract_x
_atom_site_fract_y
_atom_site_fract_z
Tb1 0.000 0.000 0.247
Y1 0.000 0.500 0.000
Os1 0.000 0.500 0.500
O1 0.000 0.318 0.291
O2 0.193 0.000 0.000
O3 0.237 0.000 0.500
```

DFT (PBE) results for an optimized crystal structure of TcOs2O.

Summary:
* DFT total energy: -8.690 eV/atom
* energy relative to the elements, uncorrected: 0.76 eV per atom
* D(E_F): 1.11 states/eV per atom

Geometry as CIF:
```
data_TcOs2O
_cell_length_a 5.491
_cell_length_b 5.491
_cell_length_c 8.444
_cell_angle_alpha 90.00
_cell_angle_beta 90.00
_cell_angle_gamma 90.00
_symmetry_space_group_name_H-M 'I -4 2 d'
_symmetry_Int_Tables_number 122
_symmetry_space_group_name_Hall 'I -4 2bw'
loop_
_atom_site_label
_atom_site_fract_x
_atom_site_fract_y
_atom_site_fract_z
Tc1 0.000 0.000 0.000
Os1 0.194 0.250 0.625
O1 0.000 0.000 0.500
```

DFT (PBE) results for an optimized crystal structure of TcOsO3.

Summary:
* DFT total energy: -7.294 eV/atom
* energy relative to the elements, uncorrected: 0.00 eV per atom
* D(E_F): 0.44 states/eV per atom

Geometry as CIF:
```
data_TcOsO3
_cell_length_a 3.904
_cell_length_b 3.904
_cell_length_c 3.904
_cell_angle_alpha 90.00
_cell_angle_beta 90.00
_cell_angle_gamma 90.00
_symmetry_space_group_name_H-M 'P m -3 m'
_symmetry_Int_Tables_number 221
_symmetry_space_group_name_Hall '-P 4 2 3'
loop_
_atom_site_label
_atom_site_fract_x
_atom_site_fract_y
_atom_site_fract_z
Tc1 0.000 0.000 0.000
Os1 0.500 0.500 0.500
O1 0.000 0.500 0.500
```

DFT (PBE) results for an optimized crystal structure of TcOs3O.

Summary:
* DFT total energy: -6.992 eV/atom
* energy relative to the elements, uncorrected: 2.81 eV per atom
* D(E_F): 1.13 states/eV per atom
* relative energy among the computed polymorphs: 1944 meV per atom

Geometry as CIF:
```
data_TcOs3O
_cell_length_a 4.689
_cell_length_b 4.689
_cell_length_c 4.689
_cell_angle_alpha 90.00
_cell_angle_beta 90.00
_cell_angle_gamma 90.00
_symmetry_space_group_name_H-M 'P m -3 m'
_symmetry_Int_Tables_number 221
_symmetry_space_group_name_Hall '-P 4 2 3'
loop_
_atom_site_label
_atom_site_fract_x
_atom_site_fract_y
_atom_site_fract_z
Tc1 0.000 0.000 0.000
Os1 0.000 0.000 0.500
O1 0.500 0.500 0.500
```

DFT (PBE) results for an optimized crystal structure of TcOs2O6.

Summary:
* DFT total energy: -8.010 eV/atom
* energy relative to the elements, uncorrected: -1.06 eV per atom
* D(E_F): 0.55 states/eV per atom

Geometry as CIF:
```
data_TcOs2O6
_cell_length_a 8.2646
_cell_length_b 8.2646
_cell_length_c 4.8643
_cell_angle_alpha 90.00
_cell_angle_beta 90.00
_cell_angle_gamma 120.00
_symmetry_space_group_name_H-M 'P 3 2 1'
_symmetry_Int_Tables_number 150
_symmetry_space_group_name_Hall 'P 3 2"'
loop_
_atom_site_label
_atom_site_fract_x
_atom_site_fract_y
_atom_site_fract_z
Tc1 0.0000 0.0000 0.0000
Tc2 0.3333 0.6667 0.4942
Os1 0.0000 0.3211 0.0000
Os2 0.0000 0.6557 0.5000
O1 0.1029 0.8772 0.2553
O2 0.1093 0.5449 0.2376
O3 0.2151 0.4388 0.7425
```

DFT (PBE) results for an optimized crystal structure of TcOs2O2.

Summary:
* DFT total energy: -8.381 eV/atom
* energy relative to the elements, uncorrected: 0.17 eV per atom
* D(E_F): 0.84 states/eV per atom
* relative energy among the computed polymorphs: 0 meV per atom

Geometry as CIF:
```
data_TcOs2O2
_cell_length_a 3.357
_cell_length_b 3.357
_cell_length_c 10.662
_cell_angle_alpha 90.00
_cell_angle_beta 90.00
_cell_angle_gamma 90.00
_symmetry_space_group_name_H-M 'I 4/m m m'
_symmetry_Int_Tables_number 139
_symmetry_space_group_name_Hall '-I 4 2'
loop_
_atom_site_label
_atom_site_fract_x
_atom_site_fract_y
_atom_site_fract_z
Tc1 0.000 0.000 0.000
Os1 0.000 0.000 0.379
O1 0.000 0.500 0.250
```

DFT (PBE) results for an optimized crystal structure of TcOsO3.

Summary:
* DFT total energy: -7.052 eV/atom
* energy relative to the elements, uncorrected: 0.24 eV per atom
* D(E_F): 0.86 states/eV per atom

Geometry as CIF:
```
data_TcOsO3
_cell_length_a 3.885
_cell_length_b 3.885
_cell_length_c 3.885
_cell_angle_alpha 90.00
_cell_angle_beta 90.00
_cell_angle_gamma 90.00
_symmetry_space_group_name_H-M 'P m -3 m'
_symmetry_Int_Tables_number 221
_symmetry_space_group_name_Hall '-P 4 2 3'
loop_
_atom_site_label
_atom_site_fract_x
_atom_site_fract_y
_atom_site_fract_z
Tc1 0.000 0.000 0.000
Os1 0.500 0.500 0.500
O1 0.000 0.000 0.500
```

DFT (PBE) results for an optimized crystal structure of TcOs2O2.

Summary:
* DFT total energy: -7.778 eV/atom
* energy relative to the elements, uncorrected: 0.77 eV per atom
* D(E_F): 1.11 states/eV per atom
* relative energy among the computed polymorphs: 603 meV per atom

Geometry as CIF:
```
data_TcOs2O2
_cell_length_a 7.196
_cell_length_b 7.196
_cell_length_c 2.709
_cell_angle_alpha 90.00
_cell_angle_beta 90.00
_cell_angle_gamma 90.00
_symmetry_space_group_name_H-M 'P 4/m b m'
_symmetry_Int_Tables_number 127
_symmetry_space_group_name_Hall '-P 4 2ab'
loop_
_atom_site_label
_atom_site_fract_x
_atom_site_fract_y
_atom_site_fract_z
Tc1 0.000 0.000 0.000
Os1 0.248 0.252 0.000
O1 0.114 0.614 0.500
```

DFT (PBE) results for an optimized crystal structure of TcOs3O.

Summary:
* DFT total energy: -8.936 eV/atom
* energy relative to the elements, uncorrected: 0.87 eV per atom
* D(E_F): 1.57 states/eV per atom
* relative energy among the computed polymorphs: 0 meV per atom

Geometry as CIF:
```
data_TcOs3O
_cell_length_a 4.066
_cell_length_b 4.066
_cell_length_c 4.066
_cell_angle_alpha 90.00
_cell_angle_beta 90.00
_cell_angle_gamma 90.00
_symmetry_space_group_name_H-M 'P m -3 m'
_symmetry_Int_Tables_number 221
_symmetry_space_group_name_Hall '-P 4 2 3'
loop_
_atom_site_label
_atom_site_fract_x
_atom_site_fract_y
_atom_site_fract_z
Tc1 0.000 0.000 0.000
Os1 0.000 0.500 0.500
O1 0.500 0.500 0.500
```

DFT (PBE) results for an optimized crystal structure of Tl2TcOsO6.

Summary:
* DFT total energy: -6.519 eV/atom
* energy relative to the elements, uncorrected: -0.91 eV per atom
* D(E_F): 0.54 states/eV per atom

Geometry as CIF:
```
data_Tl2TcOsO6
_cell_length_a 7.982
_cell_length_b 7.983
_cell_length_c 5.645
_cell_angle_alpha 90.00
_cell_angle_beta 134.85
_cell_angle_gamma 90.00
_symmetry_space_group_name_H-M 'C 1 2/m 1'
_symmetry_Int_Tables_number 12
_symmetry_space_group_name_Hall '-C 2y'
loop_
_atom_site_label
_atom_site_fract_x
_atom_site_fract_y
_atom_site_fract_z
Tl1 0.000 0.250 0.000
Tc1 0.000 0.000 0.500
Os1 0.000 0.500 0.500
O1 0.000 0.251 0.500
O2 0.248 0.500 0.997
O3 0.249 0.500 0.500
```

DFT (PBE) results for an optimized crystal structure of Tl2TcOsO.

Summary:
* DFT total energy: -5.496 eV/atom
* energy relative to the elements, uncorrected: 0.76 eV per atom
* D(E_F): 0.83 states/eV per atom

Geometry as CIF:
```
data_Tl2TcOsO
_cell_length_a 5.065
_cell_length_b 5.065
_cell_length_c 3.675
_cell_angle_alpha 90.00
_cell_angle_beta 90.00
_cell_angle_gamma 90.00
_symmetry_space_group_name_H-M 'P 4/m m m'
_symmetry_Int_Tables_number 123
_symmetry_space_group_name_Hall '-P 4 2'
loop_
_atom_site_label
_atom_site_fract_x
_atom_site_fract_y
_atom_site_fract_z
Tl1 0.000 0.500 0.000
Tc1 0.000 0.000 0.500
Os1 0.500 0.500 0.500
O1 0.500 0.500 0.000
```